The following is a DFT calculation (PBE) of an optimized crystal structure of TmTiPb.

Output
**Energy of formation**: -0.26 eV per atom
**SG**: I4/mmm
**Offset from the most stable computed form**: 0.023 eV per atom
**M_tot**: 0.538 μB per atom

Cell lengths 4.3051, 4.3051, 8.4858 Å; angles 104.69, 104.69, 90.00 degrees
With the nearest neighbours (Å) after each atom.
Fractional positions:
Tm: 0.6677 0.6677 0.3355  5 Pb 3.10-3.18, 4 Ti 3.42
Tm: 0.3323 0.3323 0.6645  5 Pb 3.10-3.18, 4 Ti 3.42
Ti: 0.5000 0.0000 0.0000  4 Pb 3.00, 4 Ti 3.04
Ti: 0.0000 0.5000 0.0000  4 Pb 3.00, 4 Ti 3.04
Pb: 0.1316 0.1316 0.2631  4 Ti 3.00, 5 Tm 3.10-3.18
Pb: 0.8684 0.8684 0.7369  4 Ti 3.00, 5 Tm 3.10-3.18

***

The following is a DFT calculation (PBE) of an optimized crystal structure of Tm2TiPb.

Output
**Energy of formation**: -0.11 eV per atom
**SG**: P4/mmm
**Offset from the most stable computed form**: 0.000 eV per atom
**M_tot**: 0.771 μB per atom

Cell lengths 4.2780, 4.8602, 4.8602 Å; angles 90.00, 90.00, 90.00 degrees
With the nearest neighbours (Å) after each atom.
Fractional positions:
Pb: 0.5000 0.5000 0.5000  8 Tm 3.24, 4 Ti 3.44
Tm: 0.0000 0.0000 0.5000  4 Pb 3.24, 4 Ti 3.24, 4 Tm 3.44
Tm: 0.0000 0.5000 0.0000  4 Pb 3.24, 4 Ti 3.24, 4 Tm 3.44
Ti: 0.5000 0.0000 0.0000  8 Tm 3.24, 4 Pb 3.44

***

E? In order: -5.61; -5.24 eV per atom.